No. 1
First-principles (GGA-PBE) data for a relaxed structure of YHoO, as listed in Alexandria.

a = 3.523 Å, b = 3.523 Å, c = 5.714 Å
α = 90.00°, β = 90.00°, γ = 120.00°
Positions (direct):
Y1 0.000 0.000 0.000
Ho1 0.333 0.667 0.471
O1 0.667 0.333 0.241

Values from the calculation:
Space-group type: No. 156
Raw formation energy, eV/atom: -1.8062



No. 2
First-principles (GGA-PBE) data for a relaxed structure of YHo2O4, as listed in Alexandria.

a = 12.000 Å, b = 3.415 Å, c = 5.837 Å
α = 90.00°, β = 117.32°, γ = 90.00°
Positions (direct):
Y1 0.000 0.000 0.000
Y2 0.500 0.500 0.000
Ho1 0.204 0.500 0.703
Ho2 0.296 0.000 0.297
Ho3 0.704 0.000 0.703
Ho4 0.796 0.500 0.297
O1 0.136 0.000 0.430
O2 0.148 0.500 0.020
O3 0.352 0.000 0.980
O4 0.364 0.500 0.570
O5 0.636 0.500 0.430
O6 0.648 0.000 0.020
O7 0.852 0.500 0.980
O8 0.864 0.000 0.570

Values from the calculation:
Space-group type: No. 12
Raw formation energy, eV/atom: -3.2280



No. 3
First-principles (GGA-PBE) data for a relaxed structure of YHoO, as listed in Alexandria.

a = 3.256 Å, b = 3.231 Å, c = 12.671 Å
α = 90.00°, β = 90.00°, γ = 90.00°
Positions (direct):
Y1 0.000 0.000 0.000
Y2 0.000 0.500 0.500
Ho1 0.500 0.000 0.723
Ho2 0.500 0.500 0.223
O1 0.000 0.000 0.182
O2 0.000 0.500 0.682

Values from the calculation:
Space-group type: No. 38
Raw formation energy, eV/atom: -1.7205



No. 4
First-principles (GGA-PBE) data for a relaxed structure of YHoO2, as listed in Alexandria.

a = 3.380 Å, b = 3.380 Å, c = 17.516 Å
α = 90.00°, β = 90.00°, γ = 120.00°
Positions (direct):
Y1 0.000 0.000 0.000
Y2 0.333 0.667 0.667
Y3 0.667 0.333 0.333
Ho1 0.000 0.000 0.178
Ho2 0.333 0.667 0.845
Ho3 0.667 0.333 0.512
O1 0.000 0.000 0.581
O2 0.000 0.000 0.762
O3 0.333 0.667 0.247
O4 0.333 0.667 0.429
O5 0.667 0.333 0.095
O6 0.667 0.333 0.914

Values from the calculation:
Space-group type: No. 160
Raw formation energy, eV/atom: -2.7127



No. 5
First-principles (GGA-PBE) data for a relaxed structure of Y2HoO, as listed in Alexandria.

a = 3.527 Å, b = 3.527 Å, c = 26.058 Å
α = 90.00°, β = 90.00°, γ = 120.00°
Positions (direct):
Y1 0.000 0.000 0.219
Y2 0.000 0.000 0.781
Y3 0.333 0.667 0.447
Y4 0.333 0.667 0.886
Y5 0.667 0.333 0.114
Y6 0.667 0.333 0.553
Ho1 0.000 0.000 0.000
Ho2 0.333 0.667 0.667
Ho3 0.667 0.333 0.333
O1 0.000 0.000 0.500
O2 0.333 0.667 0.167
O3 0.667 0.333 0.833

Values from the calculation:
Space-group type: No. 166
Raw formation energy, eV/atom: -1.3475



No. 6
First-principles (GGA-PBE) data for a relaxed structure of Y7HoO12, as listed in Alexandria.

a = 9.258 Å, b = 9.258 Å, c = 9.258 Å
α = 109.48°, β = 109.47°, γ = 109.46°
Positions (direct):
Y1 0.000 0.000 0.001
Y2 0.001 0.500 0.500
Y3 0.033 0.283 0.750
Y4 0.250 0.467 0.217
Y5 0.250 0.968 0.718
Y6 0.467 0.217 0.250
Y7 0.499 0.000 0.499
Y8 0.500 0.500 0.000
Y9 0.532 0.782 0.750
Y10 0.717 0.750 0.467
Y11 0.750 0.033 0.283
Y12 0.750 0.532 0.782
Y13 0.783 0.250 0.033
Y14 0.968 0.718 0.250
Ho1 0.217 0.750 0.967
Ho2 0.283 0.250 0.533
O1 0.013 0.771 0.042
O2 0.033 0.261 0.489
O3 0.043 0.511 0.272
O4 0.228 0.239 0.272
O5 0.229 0.970 0.458
O6 0.239 0.010 0.969
O7 0.261 0.230 0.771
O8 0.271 0.729 0.741
O9 0.272 0.544 0.011
O10 0.457 0.729 0.469
O11 0.467 0.956 0.228
O12 0.487 0.530 0.759
O13 0.511 0.468 0.239
O14 0.531 0.042 0.771
O15 0.542 0.270 0.531
O16 0.728 0.458 0.989
O17 0.729 0.272 0.261
O18 0.739 0.771 0.228
O19 0.761 0.989 0.031
O20 0.771 0.032 0.543
O21 0.772 0.761 0.729
O22 0.958 0.490 0.729
O23 0.969 0.739 0.511
O24 0.989 0.228 0.957

Values from the calculation:
Space-group type: No. 24
Raw formation energy, eV/atom: -3.5602



No. 7
First-principles (GGA-PBE) data for a relaxed structure of Y2HoO4, as listed in Alexandria.

a = 11.813 Å, b = 3.439 Å, c = 5.876 Å
α = 90.00°, β = 117.32°, γ = 90.00°
Positions (direct):
Y1 0.201 0.000 0.200
Y2 0.299 0.500 0.800
Y3 0.701 0.500 0.200
Y4 0.799 0.000 0.800
Ho1 0.000 0.500 0.500
Ho2 0.500 0.000 0.500
O1 0.132 0.500 0.925
O2 0.143 0.000 0.520
O3 0.357 0.500 0.480
O4 0.368 0.000 0.075
O5 0.632 0.000 0.925
O6 0.643 0.500 0.520
O7 0.857 0.000 0.480
O8 0.868 0.500 0.075

Values from the calculation:
Space-group type: No. 12
Raw formation energy, eV/atom: -3.2018



No. 8
First-principles (GGA-PBE) data for a relaxed structure of Y2HoO, as listed in Alexandria.

a = 3.194 Å, b = 3.194 Å, c = 8.711 Å
α = 90.00°, β = 90.00°, γ = 90.00°
Positions (direct):
Y1 0.000 0.000 0.176
Y2 0.000 0.000 0.824
Ho1 0.500 0.500 0.500
O1 0.500 0.500 0.000

Values from the calculation:
Space-group type: No. 123
Raw formation energy, eV/atom: -0.8241



No. 9
First-principles (GGA-PBE) data for a relaxed structure of Ho3ZnO, as listed in Alexandria.

a = 4.693 Å, b = 4.693 Å, c = 4.693 Å
α = 90.00°, β = 90.00°, γ = 90.00°
Positions (direct):
Ho1 0.000 0.000 0.500
Ho2 0.000 0.500 0.000
Ho3 0.500 0.000 0.000
Zn1 0.500 0.500 0.500
O1 0.000 0.000 0.000

Values from the calculation:
Space-group type: No. 221
Raw formation energy, eV/atom: -1.2757



No. 10
First-principles (GGA-PBE) data for a relaxed structure of Ho4Zn2O, as listed in Alexandria.

a = 4.672 Å, b = 4.672 Å, c = 14.290 Å
α = 90.00°, β = 90.00°, γ = 90.00°
Positions (direct):
Ho1 0.000 0.000 0.182
Ho2 0.000 0.000 0.818
Ho3 0.000 0.500 0.000
Ho4 0.000 0.500 0.500
Ho5 0.500 0.000 0.000
Ho6 0.500 0.000 0.500
Ho7 0.500 0.500 0.318
Ho8 0.500 0.500 0.682
Zn1 0.000 0.000 0.377
Zn2 0.000 0.000 0.623
Zn3 0.500 0.500 0.123
Zn4 0.500 0.500 0.877
O1 0.000 0.000 0.000
O2 0.500 0.500 0.500

Values from the calculation:
Space-group type: No. 139
Raw formation energy, eV/atom: -0.9727



No. 11
First-principles (GGA-PBE) data for a relaxed structure of Ho3Zn5O12, as listed in Alexandria.

a = 10.826 Å, b = 10.826 Å, c = 10.826 Å
α = 109.47°, β = 109.47°, γ = 109.47°
Positions (direct):
Ho1 0.125 0.250 0.375
Ho2 0.125 0.375 0.750
Ho3 0.250 0.375 0.125
Ho4 0.250 0.875 0.625
Ho5 0.375 0.125 0.250
Ho6 0.375 0.750 0.125
Ho7 0.625 0.250 0.875
Ho8 0.625 0.875 0.750
Ho9 0.750 0.125 0.375
Ho10 0.750 0.625 0.875
Ho11 0.875 0.625 0.250
Ho12 0.875 0.750 0.625
Zn1 0.000 0.000 0.000
Zn2 0.000 0.000 0.500
Zn3 0.000 0.500 0.000
Zn4 0.000 0.500 0.500
Zn5 0.125 0.750 0.875
Zn6 0.125 0.875 0.250
Zn7 0.250 0.125 0.875
Zn8 0.250 0.625 0.375
Zn9 0.375 0.250 0.625
Zn10 0.375 0.625 0.750
Zn11 0.500 0.000 0.000
Zn12 0.500 0.000 0.500
Zn13 0.500 0.500 0.000
Zn14 0.500 0.500 0.500
Zn15 0.625 0.375 0.250
Zn16 0.625 0.750 0.375
Zn17 0.750 0.375 0.625
Zn18 0.750 0.875 0.125
Zn19 0.875 0.125 0.750
Zn20 0.875 0.250 0.125
O1 0.038 0.212 0.129
O2 0.038 0.326 0.909
O3 0.083 0.712 0.674
O4 0.083 0.871 0.409
O5 0.091 0.629 0.417
O6 0.091 0.962 0.674
O7 0.129 0.038 0.212
O8 0.129 0.591 0.917
O9 0.174 0.212 0.583
O10 0.174 0.462 0.591
O11 0.212 0.129 0.038
O12 0.212 0.583 0.174
O13 0.288 0.326 0.917
O14 0.288 0.462 0.371
O15 0.326 0.909 0.038
O16 0.326 0.917 0.288
O17 0.371 0.288 0.462
O18 0.371 0.583 0.909
O19 0.409 0.083 0.871
O20 0.409 0.826 0.538
O21 0.417 0.091 0.629
O22 0.417 0.826 0.788
O23 0.462 0.371 0.288
O24 0.462 0.591 0.174
O25 0.538 0.409 0.826
O26 0.538 0.629 0.712
O27 0.583 0.174 0.212
O28 0.583 0.909 0.371
O29 0.591 0.174 0.462
O30 0.591 0.917 0.129
O31 0.629 0.417 0.091
O32 0.629 0.712 0.538
O33 0.674 0.083 0.712
O34 0.674 0.091 0.962
O35 0.712 0.538 0.629
O36 0.712 0.674 0.083
O37 0.788 0.417 0.826
O38 0.788 0.871 0.962
O39 0.826 0.538 0.409
O40 0.826 0.788 0.417
O41 0.871 0.409 0.083
O42 0.871 0.962 0.788
O43 0.909 0.038 0.326
O44 0.909 0.371 0.583
O45 0.917 0.129 0.591
O46 0.917 0.288 0.326
O47 0.962 0.674 0.091
O48 0.962 0.788 0.871

Values from the calculation:
Space-group type: No. 230
Raw formation energy, eV/atom: -1.8476



No. 12
First-principles (GGA-PBE) data for a relaxed structure of Ho2ZnO, as listed in Alexandria.

a = 3.434 Å, b = 3.434 Å, c = 25.733 Å
α = 90.00°, β = 90.00°, γ = 120.00°
Positions (direct):
Ho1 0.000 0.000 0.115
Ho2 0.000 0.000 0.885
Ho3 0.333 0.667 0.552
Ho4 0.333 0.667 0.781
Ho5 0.667 0.333 0.219
Ho6 0.667 0.333 0.448
Zn1 0.000 0.000 0.000
Zn2 0.333 0.667 0.667
Zn3 0.667 0.333 0.333
O1 0.000 0.000 0.500
O2 0.333 0.667 0.167
O3 0.667 0.333 0.833

Values from the calculation:
Space-group type: No. 166
Raw formation energy, eV/atom: -1.0821



No. 13
First-principles (GGA-PBE) data for a relaxed structure of Ho3ZrO, as listed in Alexandria.

a = 4.805 Å, b = 4.805 Å, c = 4.805 Å
α = 90.00°, β = 90.00°, γ = 90.00°
Positions (direct):
Ho1 0.000 0.000 0.500
Ho2 0.000 0.500 0.000
Ho3 0.500 0.000 0.000
Zr1 0.500 0.500 0.500
O1 0.000 0.000 0.000

Values from the calculation:
Space-group type: No. 221
Raw formation energy, eV/atom: -1.1067



No. 14
First-principles (GGA-PBE) data for a relaxed structure of HoZrO, as listed in Alexandria.

a = 3.684 Å, b = 20.731 Å, c = 3.455 Å
α = 90.00°, β = 90.00°, γ = 90.00°
Positions (direct):
Ho1 0.000 0.078 0.250
Ho2 0.000 0.922 0.750
Ho3 0.500 0.422 0.750
Ho4 0.500 0.578 0.250
Zr1 0.000 0.305 0.250
Zr2 0.000 0.695 0.750
Zr3 0.500 0.195 0.750
Zr4 0.500 0.805 0.250
O1 0.000 0.369 0.750
O2 0.000 0.631 0.250
O3 0.500 0.131 0.250
O4 0.500 0.869 0.750

Values from the calculation:
Space-group type: No. 63
Raw formation energy, eV/atom: -1.6895



No. 15
First-principles (GGA-PBE) data for a relaxed structure of Ho2Zr8O19, as listed in Alexandria.

a = 3.661 Å, b = 3.661 Å, c = 26.255 Å
α = 90.00°, β = 90.00°, γ = 90.00°
Positions (direct):
Ho1 0.000 0.500 0.057
Ho2 0.500 0.000 0.943
Zr1 0.000 0.500 0.253
Zr2 0.000 0.500 0.451
Zr3 0.000 0.500 0.647
Zr4 0.000 0.500 0.846
Zr5 0.500 0.000 0.154
Zr6 0.500 0.000 0.353
Zr7 0.500 0.000 0.549
Zr8 0.500 0.000 0.747
O1 0.000 0.000 0.000
O2 0.000 0.000 0.113
O3 0.000 0.000 0.212
O4 0.000 0.000 0.310
O5 0.000 0.000 0.406
O6 0.000 0.000 0.500
O7 0.000 0.000 0.594
O8 0.000 0.000 0.690
O9 0.000 0.000 0.788
O10 0.000 0.000 0.887
O11 0.500 0.500 0.096
O12 0.500 0.500 0.195
O13 0.500 0.500 0.296
O14 0.500 0.500 0.398
O15 0.500 0.500 0.500
O16 0.500 0.500 0.602
O17 0.500 0.500 0.704
O18 0.500 0.500 0.805
O19 0.500 0.500 0.904

Values from the calculation:
Space-group type: No. 115
Raw formation energy, eV/atom: -3.3088



No. 16
First-principles (GGA-PBE) data for a relaxed structure of Ho2ZrO5, as listed in Alexandria.

a = 9.681 Å, b = 6.582 Å, c = 6.001 Å
α = 90.00°, β = 90.00°, γ = 90.00°
Positions (direct):
Ho1 0.175 0.001 0.015
Ho2 0.175 0.499 0.015
Ho3 0.325 0.501 0.515
Ho4 0.325 0.999 0.515
Ho5 0.675 0.001 0.485
Ho6 0.675 0.499 0.485
Ho7 0.825 0.501 0.985
Ho8 0.825 0.999 0.985
Zr1 0.006 0.250 0.563
Zr2 0.494 0.750 0.063
Zr3 0.506 0.250 0.937
Zr4 0.994 0.750 0.437
O1 0.004 0.250 0.944
O2 0.097 0.529 0.653
O3 0.097 0.971 0.653
O4 0.185 0.250 0.331
O5 0.208 0.750 0.309
O6 0.292 0.250 0.809
O7 0.315 0.750 0.831
O8 0.403 0.029 0.153
O9 0.403 0.471 0.153
O10 0.496 0.750 0.444
O11 0.504 0.250 0.556
O12 0.597 0.529 0.847
O13 0.597 0.971 0.847
O14 0.685 0.250 0.169
O15 0.708 0.750 0.191
O16 0.792 0.250 0.691
O17 0.815 0.750 0.669
O18 0.903 0.029 0.347
O19 0.903 0.471 0.347
O20 0.996 0.750 0.056

Values from the calculation:
Space-group type: No. 62
Raw formation energy, eV/atom: -3.4871



No. 17
First-principles (GGA-PBE) data for a relaxed structure of HoZr3O, as listed in Alexandria.

a = 4.637 Å, b = 4.637 Å, c = 4.637 Å
α = 90.00°, β = 90.00°, γ = 90.00°
Positions (direct):
Ho1 0.000 0.000 0.000
Zr1 0.000 0.500 0.500
Zr2 0.500 0.000 0.500
Zr3 0.500 0.500 0.000
O1 0.500 0.500 0.500

Values from the calculation:
Space-group type: No. 221
Raw formation energy, eV/atom: -0.9781



No. 18
First-principles (GGA-PBE) data for a relaxed structure of HoZr2O, as listed in Alexandria.

a = 3.344 Å, b = 3.344 Å, c = 24.452 Å
α = 90.00°, β = 90.00°, γ = 120.00°
Positions (direct):
Ho1 0.000 0.000 0.000
Ho2 0.333 0.667 0.667
Ho3 0.667 0.333 0.333
Zr1 0.000 0.000 0.219
Zr2 0.000 0.000 0.781
Zr3 0.333 0.667 0.447
Zr4 0.333 0.667 0.886
Zr5 0.667 0.333 0.114
Zr6 0.667 0.333 0.553
O1 0.000 0.000 0.500
O2 0.333 0.667 0.167
O3 0.667 0.333 0.833

Values from the calculation:
Space-group type: No. 166
Raw formation energy, eV/atom: -1.1369



No. 19
First-principles (GGA-PBE) data for a relaxed structure of Ho3ZrO6, as listed in Alexandria.

a = 6.635 Å, b = 6.635 Å, c = 6.635 Å
α = 91.39°, β = 91.39°, γ = 91.39°
Positions (direct):
Ho1 0.039 0.746 0.564
Ho2 0.254 0.436 0.961
Ho3 0.436 0.961 0.254
Ho4 0.564 0.039 0.746
Ho5 0.746 0.564 0.039
Ho6 0.961 0.254 0.436
Zr1 0.000 0.000 0.000
Zr2 0.500 0.500 0.500
O1 0.040 0.696 0.916
O2 0.084 0.960 0.304
O3 0.186 0.443 0.614
O4 0.304 0.084 0.960
O5 0.386 0.814 0.557
O6 0.443 0.614 0.186
O7 0.557 0.386 0.814
O8 0.614 0.186 0.443
O9 0.696 0.916 0.040
O10 0.814 0.557 0.386
O11 0.916 0.040 0.696
O12 0.960 0.304 0.084

Values from the calculation:
Space-group type: No. 148
Raw formation energy, eV/atom: -3.3972



Q: Which magnetic moment values were calculated for the entries above? A: 0.202; 0.000; 0.000; 0.000; 0.021; 0.000; 0.000; 0.000; 0.000; 0.000; 2.563; 0.000; 0.000; 0.000; 0.000; 0.000; 0.000; 0.000; 0.000, in μB per formula unit.